Record 1
The following is a DFT calculation (SCAN) of a PBEsol-optimized structure of LiNbVO4.

Lattice parameters (Å, degrees): 6.027 5.964 5.877 119.52 90.00 120.35
Each line ends with the local moment (μB).
Atoms (fractional coordinates):
V1 0.000 0.000 0.000  1.91
O1 0.239 0.478 0.730  0.01
O2 0.780 0.015 0.258  0.03
Nb1 0.500 0.500 0.500  0.00
O3 0.764 0.985 0.742  0.03
O4 0.239 0.478 0.247  0.01
O5 0.220 0.985 0.742  0.03
O6 0.761 0.522 0.753  0.01
Li1 0.378 0.755 0.128  0.00
O7 0.236 0.015 0.258  0.03
V2 0.000 0.000 0.500  1.91
Li2 0.622 0.245 0.872  0.00
O8 0.761 0.522 0.270  0.01
Nb2 0.000 0.500 0.500  0.00

Results
- E: -191.7 eV/cell
- Space group: Imma, No. 74
- Energy above the lowest structure with this stoichiometry: 5 meV per atom

=====

Record 2
The following is a DFT calculation (SCAN) of a PBEsol-optimized structure of FeAsAu2.

Lattice parameters (Å, degrees): 4.179 4.179 4.689 116.46 116.46 90.00
Each line ends with the local moment (μB).
Atoms (fractional coordinates):
Au1 0.000 0.000 0.000  -0.01
Fe1 0.500 0.500 0.000  3.11
As1 0.250 0.750 0.500  -0.03
Au2 0.750 0.250 0.500  0.04

Results
- E: -175.7 eV/cell
- Space group: I-4m2, No. 119

=====

Record 3
The following is a DFT calculation (SCAN) of a PBEsol-optimized structure of Ba2CaAs.

Lattice parameters (Å, degrees): 5.689 8.748 8.748 83.93 71.02 71.02
Each line ends with the local moment (μB).
Atoms (fractional coordinates):
Ba1 0.375 0.648 0.852  0.08
Ba2 0.875 0.352 0.148  0.08
As1 0.750 0.500 0.500  0.03
Ba3 0.773 0.852 0.352  0.08
Ca1 0.500 0.000 0.000  0.06
Ba4 0.977 0.148 0.648  0.08
Ca2 0.250 0.500 0.500  0.06
As2 0.000 0.000 0.000  0.03

Results
- E: -222.4 eV/cell
- Space group: I-42d, No. 122

=====

Record 4
The following is a DFT calculation (SCAN) of a PBEsol-optimized structure of TaINO2.

Lattice parameters (Å, degrees): 3.998 3.998 3.997 90.00 90.00 90.00
Each line ends with the local moment (μB).
Atoms (fractional coordinates):
O1 0.000 0.500 0.000  -0.04
O2 0.500 0.000 0.000  -0.04
I1 0.000 0.000 0.500  0.00
N1 0.000 0.000 0.000  0.02
Ta1 0.500 0.500 0.500  1.29

Results
- E: -117.9 eV/cell
- Space group: P4/mmm, No. 123

=====

Record 5
The following is a DFT calculation (SCAN) of a PBEsol-optimized structure of Mn2InSe.

Lattice parameters (Å, degrees): 3.017 4.484 5.174 90.00 107.05 90.00
Each line ends with the local moment (μB).
Atoms (fractional coordinates):
Se1 0.648 0.000 0.418  -0.15
Mn1 0.579 0.500 0.287  3.34
Mn2 0.952 0.000 0.029  3.69
In1 0.321 0.500 0.766  -0.19

Results
- E: -90.1 eV/cell
- Space group: Pm, No. 6
- Energy above the lowest structure with this stoichiometry: 0 meV per atom

=====

Record 6
The following is a DFT calculation (SCAN) of a PBEsol-optimized structure of Sc2TlSbAu.

Lattice parameters (Å, degrees): 4.980 5.327 5.327 90.00 90.00 90.00
Atoms (fractional coordinates):
Au1 0.500 0.000 0.000
Sc1 0.000 0.500 0.000
Tl1 0.000 0.000 0.000
Sc2 0.000 0.000 0.500
Sb1 0.500 0.500 0.500

Results
- E: -206.0 eV/cell
- Space group: P4/mmm, No. 123

=====

Record 7
The following is a DFT calculation (SCAN) of a PBEsol-optimized structure of KYCd.

Lattice parameters (Å, degrees): 3.206 5.617 5.617 120.00 90.00 90.00
Atoms (fractional coordinates):
Cd1 0.979 0.000 0.000
Y1 0.384 0.667 0.333
K1 0.636 0.333 0.667

Results
- E: -65.7 eV/cell
- Space group: P3m1, No. 156
- Energy above the lowest structure with this stoichiometry: 273 meV per atom

=====

Record 8
The following is a DFT calculation (SCAN) of a PBEsol-optimized structure of Li3CdO.

Lattice parameters (Å, degrees): 4.012 4.012 4.012 90.00 90.00 90.00
Atoms (fractional coordinates):
Li1 0.000 0.000 0.500
O1 0.000 0.000 0.000
Li2 0.000 0.500 0.000
Li3 0.500 0.000 0.000
Cd1 0.500 0.500 0.500

Results
- E: -48.9 eV/cell
- Space group: Pm-3m, No. 221

=====

Record 9
The following is a DFT calculation (SCAN) of a PBEsol-optimized structure of CsPdCl3.

Lattice parameters (Å, degrees): 4.931 4.931 4.931 90.00 90.00 90.00
Atoms (fractional coordinates):
Cl1 0.000 0.500 0.000
Cl2 0.500 0.000 0.000
Cs1 0.500 0.500 0.500
Cl3 0.000 0.000 0.500
Pd1 0.000 0.000 0.000

Results
- E: -100.9 eV/cell
- Space group: Pm-3m, No. 221

=====

Record 10
The following is a DFT calculation (SCAN) of a PBEsol-optimized structure of LaNiSe2.

Lattice parameters (Å, degrees): 4.844 4.844 4.844 60.00 60.00 60.00
Each line ends with the local moment (μB).
Atoms (fractional coordinates):
Se1 0.000 0.000 0.000  0.17
Ni1 0.250 0.250 0.250  0.55
La1 0.500 0.500 0.500  -0.01
Se2 0.750 0.750 0.750  0.18

Results
- E: -101.2 eV/cell
- Space group: F-43m, No. 216

=====

Record 11
The following is a DFT calculation (SCAN) of a PBEsol-optimized structure of LaInSi2.

Lattice parameters (Å, degrees): 4.231 4.231 5.673 111.90 111.90 90.00
Atoms (fractional coordinates):
Si1 0.000 0.000 0.000
In1 0.500 0.500 0.000
Si2 0.750 0.250 0.500
La1 0.250 0.750 0.500

Results
- E: -97.0 eV/cell
- Space group: I-4m2, No. 119

=====

Record 12
The following is a DFT calculation (SCAN) of a PBEsol-optimized structure of CaZrBr.

Lattice parameters (Å, degrees): 5.198 5.198 5.198 60.00 60.00 60.00
Each line ends with the local moment (μB).
Atoms (fractional coordinates):
Br1 0.500 0.500 0.500  0.07
Ca1 0.750 0.750 0.750  0.36
Zr1 0.000 0.000 0.000  2.03

Results
- E: -58.1 eV/cell
- Space group: F-43m, No. 216
- Energy above the lowest structure with this stoichiometry: 590 meV per atom

=====

Please write out number 9 again, unchanged.
The following is a DFT calculation (SCAN) of a PBEsol-optimized structure of CsPdCl3.

Lattice parameters (Å, degrees): 4.931 4.931 4.931 90.00 90.00 90.00
Atoms (fractional coordinates):
Cl1 0.000 0.500 0.000
Cl2 0.500 0.000 0.000
Cs1 0.500 0.500 0.500
Cl3 0.000 0.000 0.500
Pd1 0.000 0.000 0.000

Results
- E: -100.9 eV/cell
- Space group: Pm-3m, No. 221